(1)
This record from Alexandria describes a geometry-optimized DyTmSiNi structure. The functional is GGA-PBE. Values from VASP.

The structure in Quantum ESPRESSO input format:
```
&SYSTEM
  ibrav = 0, nat = 4, ntyp = 4
/
ATOMIC_SPECIES
Ni 58.69 Ni.upf
Dy 162.50 Dy.upf
Tm 168.93 Tm.upf
Si 28.09 Si.upf
CELL_PARAMETERS angstrom
4.8478 0.0000 0.0000
2.4239 4.1983 0.0000
2.4239 1.3994 3.9582
ATOMIC_POSITIONS crystal
Ni 0.2500 0.2500 0.2500
Dy 0.5000 0.5000 0.5000
Tm 0.0000 0.0000 0.0000
Si 0.7500 0.7500 0.7500
```

Properties
As for the uncorrected formation energy: -47 kJ/mol of atoms. The symmetry is F-43m. For the relative energy among the computed polymorphs, the calculation gives 0.64 eV/f.u. The density of states at the Fermi level comes out at 1.404 states/eV/f.u. The total energy is -5.561 eV per atom.

(2)
This record from Alexandria describes a geometry-optimized Mg2AsPH structure. The functional is GGA-PBE. Values from VASP.

The structure in Quantum ESPRESSO input format:
```
&SYSTEM
  ibrav = 0, nat = 5, ntyp = 4
/
ATOMIC_SPECIES
Mg 24.30 Mg.upf
H 1.01 H.upf
P 30.97 P.upf
As 74.92 As.upf
CELL_PARAMETERS angstrom
-2.2765 -4.2984 -0.8817
4.3399 -2.0593 -1.1661
0.4717 -0.9562 3.4439
ATOMIC_POSITIONS crystal
Mg 0.5000 0.0000 0.9120
Mg 0.0000 0.5000 0.9120
H 0.0000 0.0000 0.5106
P 0.0000 0.0000 0.1149
As 0.5000 0.5000 0.5506
```

Properties
The symmetry is P4mm. The density of states at the Fermi level comes out at 1.461 states/eV/f.u. The total energy is -3.556 eV per atom.